# 1
Density functional theory data (PBE-GGA) for a geometry-optimized Nd2CoWN5 structure.

The structure in extended XYZ format:
```
18
Lattice="-0.962 3.089 -0.211 -4.009 -2.572 5.536 7.221 2.691 6.479" Properties=species:S:1:pos:R:3 pbc="T T T"
Nd 3.976 1.634 5.796
Nd 1.213 0.610 3.406
Nd 2.053 2.976 9.310
Nd -2.490 1.290 5.323
N -2.445 -0.268 7.223
N 2.004 1.138 7.530
N 5.134 3.640 4.976
N 1.691 2.569 4.987
N -2.944 -0.666 3.674
N -0.164 -0.024 0.399
N -1.136 1.555 3.034
N 4.251 3.542 7.569
N -1.006 1.958 8.337
N -0.114 0.369 5.928
W 0.634 2.341 6.474
W -1.690 -0.365 2.365
Co -0.760 0.293 7.757
Co 5.891 3.989 6.632
```

Computed properties:
The space group is Cmc2_1. The value obtained for the uncorrected formation energy is -0.651 eV per atom. As for the total DFT energy (no corrections): -8.565 eV/atom.

---

# 2
Density functional theory data (PBE-GGA) for a geometry-optimized TaAgSe2 structure.

The structure in extended XYZ format:
```
4
Lattice="-8.282 -3.101 0.239 -7.589 -2.794 3.587 -8.662 -0.067 1.799" Properties=species:S:1:pos:R:3 pbc="T T T"
Ag 0.000 0.000 0.000
Se -2.479 -0.602 0.568
Se -22.055 -5.360 5.057
Ta -12.267 -2.981 2.813
```

Computed properties:
The space group is R-3m. The value obtained for the uncorrected formation energy is -0.435 eV per atom. As for the total DFT energy (no corrections): -5.853 eV/atom.

---

# 3
Density functional theory data (PBE-GGA) for a geometry-optimized LaMg2Co structure.

The structure in extended XYZ format:
```
4
Lattice="-4.682 -2.996 -2.173 -2.254 -4.719 2.876 1.653 5.624 1.124" Properties=species:S:1:pos:R:3 pbc="T T T"
Mg -3.468 -3.858 0.351
Mg 0.000 0.000 0.000
Co -2.035 -1.477 2.176
La -3.249 -0.615 -0.349
```

Computed properties:
The space group is I4/mmm. For the formation energy from the elements, the calculation gives 0.8 eV/f.u. As for the total DFT energy (no corrections): -3.610 eV/atom.

---

# 4
Density functional theory data (PBE-GGA) for a geometry-optimized Ga8Co2Tc structure.

The structure in extended XYZ format:
```
11
Lattice="3.723 -1.378 -1.046 -1.399 7.846 0.789 -1.399 2.872 7.344" Properties=species:S:1:pos:R:3 pbc="T T T"
Ga 1.741 4.183 0.681
Ga 1.741 1.782 3.845
Ga -0.075 3.750 2.846
Ga 2.500 0.405 0.307
Ga 1.000 5.590 4.241
Ga -1.575 8.935 6.780
Ga -0.816 5.157 6.406
Ga -0.816 7.558 3.242
Co 1.197 2.051 1.556
Co -0.272 7.289 5.531
Tc 0.000 0.000 0.000
```

Computed properties:
The space group is Cmmm. For the formation energy from the elements, the calculation gives -2.2 eV/f.u. As for the total DFT energy (no corrections): -4.632 eV/atom.

---

# 5
Density functional theory data (PBE-GGA) for a geometry-optimized K2EuAgCl6 structure.

The structure in extended XYZ format:
```
10
Lattice="7.601 0.000 0.000 3.800 6.582 0.000 3.800 2.194 6.206" Properties=species:S:1:pos:R:3 pbc="T T T"
K 11.401 6.582 4.654
K 3.800 2.194 1.551
Cl 9.481 3.302 4.639
Cl 5.720 3.302 4.639
Cl 7.601 6.560 4.639
Cl 7.601 2.217 1.567
Cl 9.481 5.474 1.567
Cl 5.720 5.474 1.567
Ag 7.601 4.388 3.103
Eu 0.000 0.000 0.000
```

Computed properties:
The space group is Fm-3m. The value obtained for the uncorrected formation energy is -1.626 eV per atom. As for the total DFT energy (no corrections): -4.266 eV/atom.

---

# 6
Density functional theory data (PBE-GGA) for a geometry-optimized Y3As structure.

The structure in extended XYZ format:
```
4
Lattice="-3.272 -0.411 2.082 2.545 -2.946 -0.234 4.380 3.186 7.509" Properties=species:S:1:pos:R:3 pbc="T T T"
Y 2.201 1.316 7.370
Y 2.190 1.593 3.755
Y -0.487 -0.640 2.760
As 0.000 0.000 0.000
```

Computed properties:
The space group is P-6m2. For the formation energy from the elements, the calculation gives -2.2 eV/f.u. As for the total DFT energy (no corrections): -6.565 eV/atom.

---

# 7
Density functional theory data (PBE-GGA) for a geometry-optimized YZr2Ag2S6 structure.

The structure in extended XYZ format:
```
11
Lattice="6.565 -0.052 0.499 -3.290 5.681 0.499 -0.752 -1.292 6.649" Properties=species:S:1:pos:R:3 pbc="T T T"
Zr 2.835 1.253 3.823
Zr -0.312 3.084 3.823
S 1.644 2.826 5.472
S -1.665 1.179 4.951
S 4.187 3.158 2.696
S 1.848 -0.864 4.951
S 0.675 5.201 2.696
S 0.879 1.510 2.175
Ag -2.057 4.964 0.499
Ag 5.332 0.665 0.499
Y -0.376 -0.646 3.324
```

Computed properties:
The space group is C2/m. The value obtained for the uncorrected formation energy is -1.221 eV per atom. As for the total DFT energy (no corrections): -6.132 eV/atom.

---

# 8
Density functional theory data (PBE-GGA) for a geometry-optimized TaAsSBr2 structure.

The structure in extended XYZ format:
```
5
Lattice="-0.976 2.573 -4.057 -1.232 -4.136 -2.326 -4.733 0.567 1.498" Properties=species:S:1:pos:R:3 pbc="T T T"
S 0.000 0.000 0.000
Br -0.616 -2.068 -1.163
Br -0.488 1.286 -2.029
Ta -3.471 -0.498 -2.442
As -2.367 0.284 0.749
```

Computed properties:
The space group is P4/mmm. The value obtained for the uncorrected formation energy is 1.246 eV per atom. As for the total DFT energy (no corrections): -3.549 eV/atom.